Computed, not measured: a relaxed CsSb2CI crystal at the PBE level of DFT.

Values from the calculation:
Formation energy without anion corrections in eV per formula unit: 3.13
Calculated volume in Å³/atom: 43.01

Cell and atoms, written as POSCAR:
```
CsSb2CI
1.0
-3.847 -2.095 1.941
0.139 -3.390 -3.383
5.577 -5.201 5.441
Sb C I Cs
2 1 1 1
Cartesian
-1.923 -1.048 0.970 Sb
0.070 -1.695 -1.692 Sb
0.000 0.000 0.000 C
2.789 -2.600 2.720 I
0.935 -5.343 1.999 Cs
```



Computed, not measured: a relaxed CsSb2CI crystal at the PBE level of DFT.

Values from the calculation:
Formation energy without anion corrections in eV per formula unit: 11.85
Calculated volume in Å³/atom: 61.06

Cell and atoms, written as POSCAR:
```
CsSb2CI
1.0
6.647 0.000 0.000
0.000 6.647 0.000
0.000 0.000 6.909
Cs I Sb C
1 1 2 1
Cartesian
0.000 0.000 0.000 Cs
0.000 0.000 3.455 I
0.000 3.324 0.000 Sb
3.324 0.000 0.000 Sb
3.324 3.324 3.455 C
```



Computed, not measured: a relaxed Cs2ScCI6 crystal at the PBE level of DFT.

Values from the calculation:
Formation energy without anion corrections in eV per formula unit: -5.33
Calculated volume in Å³/atom: 41.03

Cell and atoms, written as POSCAR:
```
Cs2ScCI6
1.0
7.926 0.000 0.000
0.000 7.926 0.000
3.963 3.963 6.532
I Cs C Sc
6 2 1 1
Cartesian
2.086 5.840 0.000 I
7.926 7.926 2.864 I
5.840 2.086 0.000 I
5.840 5.840 0.000 I
3.963 3.963 3.668 I
2.086 2.086 0.000 I
3.963 7.926 3.266 Cs
7.926 3.963 3.266 Cs
3.963 3.963 0.000 C
0.000 0.000 0.000 Sc
```



Computed, not measured: a relaxed Cs2CSeI6 crystal at the PBE level of DFT.

Values from the calculation:
Formation energy without anion corrections in eV per formula unit: -1.21
Calculated volume in Å³/atom: 36.74

Cell and atoms, written as POSCAR:
```
Cs2CSeI6
1.0
-3.754 -6.117 -3.313
4.327 0.895 -6.555
4.339 -6.275 -2.760
I Cs C Se
6 2 1 1
Cartesian
2.206 -0.945 -5.704 I
2.171 -4.315 -3.923 I
0.150 -1.370 -2.589 I
-1.634 -4.277 -4.164 I
2.741 -7.182 -8.705 I
0.423 -3.852 -7.279 I
0.436 -7.502 -5.504 Cs
4.476 -3.995 -7.125 Cs
0.286 -2.611 -4.934 C
0.000 0.000 0.000 Se
```



Computed, not measured: a relaxed Cs2SrCI6 crystal at the PBE level of DFT.

Values from the calculation:
Formation energy without anion corrections in eV per formula unit: -5.86
Calculated volume in Å³/atom: 42.45

Cell and atoms, written as POSCAR:
```
Cs2SrCI6
1.0
-7.220 -4.040 1.646
3.003 -2.294 7.542
-4.346 1.812 6.999
I Cs Sr C
6 2 1 1
Cartesian
0.214 -2.770 5.933 I
-4.431 -3.564 3.254 I
-3.066 -4.606 6.681 I
-3.125 -0.906 5.686 I
-5.438 -3.616 10.500 I
-1.150 -1.728 2.506 I
-1.726 -1.824 9.567 Cs
-6.837 -2.697 6.619 Cs
0.000 0.000 0.000 Sr
-2.108 -3.167 4.594 C
```



Computed, not measured: a relaxed Cs2TaCI6 crystal at the PBE level of DFT.

Values from the calculation:
Formation energy without anion corrections in eV per formula unit: -1.29
Calculated volume in Å³/atom: 40.33

Cell and atoms, written as POSCAR:
```
Cs2TaCI6
1.0
7.977 0.000 0.000
0.000 7.977 0.000
3.989 3.989 6.338
I Ta Cs C
6 1 2 1
Cartesian
2.017 5.961 0.000 I
5.961 2.017 0.000 I
7.977 7.977 2.818 I
5.961 5.961 0.000 I
2.017 2.017 0.000 I
3.989 3.989 3.520 I
0.000 0.000 0.000 Ta
7.977 3.989 3.169 Cs
3.989 7.977 3.169 Cs
3.989 3.989 0.000 C
```



Across the entries above, total moment takes the values 0.00, 1.00, 0.10, 0.00, 0.00, 0.30 μB/atom, respectively.
Across the entries above, DFT total energy takes the values -3.35, -1.60, -3.19, -2.49, -2.78, -3.34 eV/atom, respectively.
Across the entries above, mass density takes the values 4.0, 2.8, 4.4, 5.1, 4.4, 5.0 g/cm3, respectively.